8
Lattice="3.868 0.000 0.000 0.000 3.868 0.000 1.934 1.934 9.119" Properties=species:S:1:pos:R:3 comment="CdCoPd2 | Alexandria | PBE-GGA | relaxed" rho_g_cm3=9.35 dft_energy_ev_per_atom=-4.27 space_group=I-42d dos_ef_per_ev_fu=5.63 pbc="T T T"
Pd 1.022 2.901 2.280
Pd 2.846 0.967 2.280
Pd 2.901 2.956 6.839
Pd 4.835 4.780 6.839
Cd 3.868 1.934 4.560
Cd 0.000 0.000 0.000
Co 1.934 1.934 0.000
Co 1.934 3.868 4.560